[1]
ScAgF2 | the Alexandria database | GGA-PBE | optimized geometry; SG = No. 166; formation energy from raw total energies = -2193 meV per atom; magnetization = 0.00 μB/f.u.; energy = -5.424 eV/atom
1.0
1.5282 0.8823 9.3404
-1.5282 0.8823 9.3404
0.0000 -1.7646 9.3404
Sc Ag F
1 1 2
direct
0.0000 0.0000 0.0000
0.5000 0.5000 0.5000
0.3772 0.3772 0.3772
0.6228 0.6228 0.6228

***

[2]
Sc2AgF | the Alexandria database | GGA-PBE | optimized geometry; SG = No. 166; formation energy from raw total energies = -850 meV per atom; magnetization = 0.00 μB/f.u.; energy = -5.197 eV/atom
1.0
1.5143 0.8743 9.1459
-1.5143 0.8743 9.1459
0.0000 -1.7486 9.1459
Sc Ag F
2 1 1
direct
0.1019 0.1019 0.1019
0.8981 0.8981 0.8981
0.0000 0.0000 0.0000
0.5000 0.5000 0.5000

***

Which value of formation energy from raw total energies does entry 1 give?
-2193 meV per atom